Record 1
# LiPmGdHg

LiPmGdHg after structural relaxation (GGA-PBE, the Alexandria database).

Structure (extended XYZ):
```
4
Lattice="0.000 3.754 3.754 3.754 0.000 3.754 3.754 3.754 0.000" Properties=species:S:1:pos:R:3 pbc="T T T"
Li 0.000 0.000 0.000
Pm 5.630 5.630 5.630
Gd 1.877 1.877 1.877
Hg 3.754 3.754 3.754
```

Summary:
Crystal system: cubic
M_tot, μB per atom: 1.9767
Formation energy, eV per atom: -0.2254
N(E_F), states/eV/cell: 4.1

=====

Record 2
# RhWCl2

RhWCl2 after structural relaxation (GGA-PBE, the Alexandria database).

Structure (extended XYZ):
```
4
Lattice="1.509 0.871 8.282 -1.509 0.871 8.282 0.000 -1.742 8.282" Properties=species:S:1:pos:R:3 pbc="T T T"
Rh 0.000 0.000 0.000
W 0.000 0.000 12.424
Cl 0.000 0.000 2.322
Cl 0.000 0.000 22.525
```

Summary:
Crystal system: trigonal
M_tot, μB per atom: 0.0000
Energy relative to the elements, uncorrected, eV/atom: 0.3567
N(E_F), states/eV/cell: 3.3

=====

Record 3
# TbMnNi10

TbMnNi10 after structural relaxation (GGA-PBE, the Alexandria database).

Structure (extended XYZ):
```
12
Lattice="3.989 0.000 0.000 0.000 4.757 0.000 0.000 0.000 8.253" Properties=species:S:1:pos:R:3 pbc="T T T"
Tb 0.000 0.000 0.000
Mn 0.000 2.379 4.127
Ni 0.000 0.000 2.836
Ni 0.000 0.000 5.418
Ni 0.000 2.379 1.511
Ni 0.000 2.379 6.742
Ni 1.994 0.000 4.127
Ni 1.994 1.198 2.108
Ni 1.994 1.198 6.145
Ni 1.994 2.379 0.000
Ni 1.994 3.559 2.108
Ni 1.994 3.559 6.145
```

Summary:
Crystal system: orthorhombic
M_tot, μB per atom: 0.6957
Formation energy, eV per atom: -0.0888
N(E_F), states/eV/cell: 13.2

=====

Record 4
# Sc2Tc

Sc2Tc after structural relaxation (GGA-PBE, the Alexandria database).

Structure (extended XYZ):
```
3
Lattice="0.000 3.185 3.185 3.185 0.000 3.185 3.185 3.185 0.000" Properties=species:S:1:pos:R:3 pbc="T T T"
Sc 1.592 1.592 1.592
Sc 4.777 4.777 4.777
Tc 0.000 0.000 0.000
```

Summary:
Crystal system: cubic
M_tot, μB per atom: 0.0000
Formation energy, eV per atom: 0.1122
N(E_F), states/eV/cell: 2.8

=====

Record 5
# CaP2H5NO7

CaP2H5NO7 after structural relaxation (GGA-PBE, the Alexandria database).

Structure (extended XYZ):
```
128
Lattice="7.348 0.000 0.000 0.000 17.878 0.000 -7.112 0.000 10.692" Properties=species:S:1:pos:R:3 pbc="T T T"
Ca -0.054 3.997 1.685
Ca -3.610 4.942 7.031
Ca -3.409 13.283 8.201
Ca 0.147 13.534 2.855
Ca 0.088 4.344 7.837
Ca 3.644 4.595 2.491
Ca 3.845 12.936 3.661
Ca 0.289 13.881 9.007
P -2.038 1.517 3.208
P -5.594 7.422 8.554
P -4.692 2.897 9.993
P -1.135 6.042 4.647
P -1.919 1.846 6.239
P 1.638 7.093 0.893
P -1.415 12.678 5.994
P 2.142 14.140 0.648
P -1.906 3.738 10.044
P 1.650 5.201 4.698
P -1.402 10.785 9.799
P 2.154 16.032 4.453
P 1.371 11.836 6.045
P 4.927 14.981 0.699
P 5.830 10.456 2.138
P 2.273 16.361 7.484
H -5.946 11.085 10.391
H -2.389 15.732 5.045
H -4.978 0.895 9.036
H -1.422 8.044 3.690
H -3.654 0.222 7.383
H -0.097 8.717 2.037
H 0.229 0.402 1.765
H -3.328 8.537 7.111
H -2.794 10.095 6.540
H 0.763 16.722 1.194
H 1.512 0.292 0.687
H -2.044 8.647 6.033
H 1.861 9.854 0.637
H -1.695 16.963 5.983
H -4.267 10.782 10.238
H -0.711 16.035 4.892
H 2.213 11.493 0.927
H -1.343 15.324 6.273
H -1.876 9.215 7.647
H 1.680 17.602 2.301
H -1.445 0.276 8.391
H 2.111 8.663 3.045
H 1.578 2.554 4.419
H -1.978 6.385 9.765
H 0.946 1.843 5.800
H 4.503 7.096 0.454
H 1.931 0.915 4.709
H -1.626 8.024 10.055
H 2.280 9.231 4.658
H -1.277 17.586 10.004
H -0.527 1.156 9.498
H 3.029 7.783 4.152
H 3.563 9.341 3.581
H 0.007 17.476 8.927
H 0.333 9.161 8.655
H 3.889 17.656 3.309
H 1.657 9.834 7.002
H 5.213 16.983 1.656
H 2.625 2.146 5.647
H 6.181 6.793 0.301
N -2.517 9.129 6.819
N 1.039 17.688 1.473
N 2.034 10.781 0.193
N -1.522 16.036 5.539
N 1.757 1.842 5.153
N -1.799 7.097 10.499
N -0.804 0.190 9.219
N 2.752 8.749 3.873
O -4.611 17.871 7.772
O -1.055 8.946 2.426
O -0.825 1.793 2.337
O -4.381 7.146 7.683
O -5.060 3.722 8.774
O -1.504 5.217 3.428
O -3.094 2.809 6.209
O 0.462 6.130 0.863
O -0.344 11.385 2.211
O -3.901 15.432 7.557
O -2.751 11.955 6.151
O 0.805 14.862 0.805
O -5.228 1.397 9.883
O -1.672 7.542 4.537
O -1.477 1.427 4.720
O -5.034 7.512 10.066
O -1.326 13.333 4.617
O -4.882 13.484 9.963
O -2.313 0.491 6.894
O 1.243 8.448 1.548
O 2.047 3.411 0.673
O -1.509 5.528 6.019
O -2.702 11.311 9.207
O 0.855 15.506 3.861
O -3.082 2.617 9.944
O 0.474 6.322 4.598
O 2.357 13.147 1.812
O -1.199 13.670 7.158
O 1.434 4.208 3.534
O -2.122 4.731 8.880
O -0.238 11.557 6.094
O 3.318 15.261 0.748
O -0.619 2.372 6.831
O 2.937 6.567 1.485
O 1.745 12.350 4.673
O -1.812 14.467 10.019
O -1.008 9.430 9.144
O 2.549 17.387 3.798
O 5.117 4.394 0.729
O 1.561 4.545 6.075
O 5.269 10.366 0.626
O 1.713 16.451 5.972
O 1.908 10.336 6.155
O 5.464 16.481 0.809
O -0.570 3.016 9.887
O 2.987 5.923 4.541
O 4.136 2.446 3.135
O 0.580 6.493 8.481
O -0.227 11.748 9.829
O 3.329 15.069 4.483
O 1.739 12.661 7.264
O 5.295 14.156 1.918
O 4.616 10.732 3.009
O 1.060 16.085 8.355
O 4.846 0.007 2.920
O 1.290 8.932 8.266
```

Summary:
Crystal system: monoclinic
M_tot, μB per atom: 0.0027
Electronic total energy, eV/atom: -6.316
N(E_F), states/eV/cell: 0.0

=====

Record 6
# KSc2C

KSc2C after structural relaxation (GGA-PBE, the Alexandria database).

Structure (extended XYZ):
```
4
Lattice="1.706 0.985 9.915 -1.706 0.985 9.915 0.000 -1.970 9.915" Properties=species:S:1:pos:R:3 pbc="T T T"
K 0.000 0.000 0.000
Sc 0.000 0.000 3.760
Sc 0.000 0.000 25.986
C 0.000 0.000 14.873
```

Summary:
Crystal system: trigonal
M_tot, μB per atom: 0.1097
Formation energy, eV per atom: -0.0763
N(E_F), states/eV/cell: 3.8

=====

Record 7
# Sc2Si6Ni21

Sc2Si6Ni21 after structural relaxation (GGA-PBE, the Alexandria database).

Structure (extended XYZ):
```
29
Lattice="0.000 5.605 5.605 5.605 0.000 5.605 5.605 5.605 0.000" Properties=species:S:1:pos:R:3 pbc="T T T"
Sc 2.803 2.803 2.803
Sc 8.408 8.408 8.408
Si 5.605 5.605 2.625
Si 5.605 2.625 5.605
Si 8.585 5.605 5.605
Si 2.625 5.605 5.605
Si 5.605 8.585 5.605
Si 5.605 5.605 8.585
Ni 1.325 1.325 1.325
Ni 4.280 4.280 1.325
Ni 4.280 1.325 4.280
Ni 5.605 3.643 3.643
Ni 7.567 5.605 3.643
Ni 7.567 3.643 5.605
Ni 9.885 6.930 6.930
Ni 3.643 5.605 3.643
Ni 5.605 7.567 3.643
Ni 3.643 3.643 5.605
Ni 5.605 5.605 5.605
Ni 7.567 7.567 5.605
Ni 5.605 3.643 7.567
Ni 7.567 5.605 7.567
Ni 1.325 4.280 4.280
Ni 3.643 7.567 5.605
Ni 3.643 5.605 7.567
Ni 5.605 7.567 7.567
Ni 6.930 9.885 6.930
Ni 6.930 6.930 9.885
Ni 9.885 9.885 9.885
```

Summary:
Crystal system: cubic
M_tot, μB per atom: 0.0000
Energy relative to the elements, uncorrected, eV/atom: -0.4070
N(E_F), states/eV/cell: 26.9

=====

Record 8
# PrSm2HoP4

PrSm2HoP4 after structural relaxation (GGA-PBE, the Alexandria database).

Structure (extended XYZ):
```
8
Lattice="7.104 0.000 0.000 0.000 4.106 0.000 -2.366 0.000 6.701" Properties=species:S:1:pos:R:3 pbc="T T T"
Pr 0.000 0.000 0.000
Sm -1.183 2.053 3.350
Sm 2.369 0.000 3.350
Ho 3.552 2.053 0.000
P 1.226 2.053 1.684
P 0.042 0.000 5.045
P 4.696 0.000 1.656
P 3.512 2.053 5.017
```

Summary:
Crystal system: monoclinic
M_tot, μB per atom: 0.0000
Formation energy, eV per atom: -1.5567
N(E_F), states/eV/cell: 0.6

=====

Record 9
# Ba5BiI5

Ba5BiI5 after structural relaxation (GGA-PBE, the Alexandria database).

Structure (extended XYZ):
```
11
Lattice="7.894 -3.537 0.000 7.894 3.537 0.000 -3.202 0.000 9.515" Properties=species:S:1:pos:R:3 pbc="T T T"
Ba 0.000 0.000 0.000
Ba 4.815 0.000 1.517
Ba 3.210 0.000 6.447
Ba 9.376 0.000 3.068
Ba 7.771 0.000 7.998
Bi 7.894 0.000 0.000
I -0.039 0.000 7.849
I 1.587 0.000 3.224
I 6.293 0.000 4.758
I 10.998 0.000 6.292
I 12.625 0.000 1.666
```

Summary:
Crystal system: monoclinic
M_tot, μB per atom: 0.0000
Energy relative to the elements, uncorrected, eV/atom: -1.4435
N(E_F), states/eV/cell: 5.0

=====

Record 10
# Na2PbC2O6

Na2PbC2O6 after structural relaxation (GGA-PBE, the Alexandria database).

Structure (extended XYZ):
```
11
Lattice="3.953 -2.569 0.000 3.953 2.569 0.000 -2.047 0.000 7.140" Properties=species:S:1:pos:R:3 pbc="T T T"
Na 1.180 0.000 0.645
Na 4.679 0.000 6.495
Pb -1.024 0.000 3.570
C 2.274 0.000 5.288
C 3.586 0.000 1.852
O 3.185 1.129 1.325
O 2.674 1.129 5.815
O 1.553 0.000 4.216
O 4.306 0.000 2.924
O 3.185 -1.129 1.325
O 2.674 -1.129 5.815
```

Summary:
Crystal system: monoclinic
M_tot, μB per atom: 0.0000
Energy relative to the elements, uncorrected, eV/atom: -1.5330
N(E_F), states/eV/cell: 0.0

=====

Record 11
# BaLaSe2O8

BaLaSe2O8 after structural relaxation (GGA-PBE, the Alexandria database).

Structure (extended XYZ):
```
12
Lattice="5.881 0.000 0.000 -2.941 5.093 0.000 0.000 0.000 7.984" Properties=species:S:1:pos:R:3 pbc="T T T"
Ba 0.000 0.000 0.000
La 0.000 0.000 3.992
Se 0.000 3.396 6.178
Se 2.941 1.698 1.805
O -1.458 4.223 5.664
O 0.012 1.719 5.664
O 0.000 3.396 7.852
O 1.495 0.849 2.320
O 1.446 4.244 5.664
O 2.941 1.698 0.132
O 2.929 3.374 2.320
O 4.398 0.870 2.320
```

Summary:
Crystal system: trigonal
M_tot, μB per atom: 0.0000
Energy relative to the elements, uncorrected, eV/atom: -1.6493
N(E_F), states/eV/cell: 3.5

=====

Record 12
# NaLiGe

NaLiGe after structural relaxation (GGA-PBE, the Alexandria database).

Structure (extended XYZ):
```
6
Lattice="4.933 0.000 0.000 -2.466 4.272 0.000 0.000 0.000 7.417" Properties=species:S:1:pos:R:3 pbc="T T T"
Na 0.000 0.000 1.849
Na 0.000 0.000 5.568
Li 0.000 2.848 3.709
Li 2.466 1.424 0.000
Ge 0.000 2.848 1.170
Ge 0.000 2.848 6.247
```

Summary:
Crystal system: hexagonal
M_tot, μB per atom: 0.0000
Formation energy, eV per atom: -0.0847
N(E_F), states/eV/cell: 0.8

=====

Record 13
# NiMo3

NiMo3 after structural relaxation (GGA-PBE, the Alexandria database).

Structure (extended XYZ):
```
4
Lattice="4.408 2.545 0.879 -4.408 2.545 0.879 0.000 -5.090 0.879" Properties=species:S:1:pos:R:3 pbc="T T T"
Ni 0.000 0.000 0.000
Mo -2.204 -1.273 0.879
Mo -2.204 1.273 1.758
Mo 0.000 2.545 0.879
```

Summary:
Crystal system: trigonal
M_tot, μB per atom: 0.0000
Formation energy, eV per atom: 0.1285
N(E_F), states/eV/cell: 5.4

=====

Record 14
# MgIrBr2

MgIrBr2 after structural relaxation (GGA-PBE, the Alexandria database).

Structure (extended XYZ):
```
4
Lattice="3.253 0.000 0.000 0.000 3.253 0.000 0.000 0.000 7.699" Properties=species:S:1:pos:R:3 pbc="T T T"
Mg 0.000 0.000 0.000
Ir 0.000 0.000 3.849
Br 1.627 1.627 1.698
Br 1.627 1.627 6.000
```

Summary:
Crystal system: tetragonal
M_tot, μB per atom: 0.2802
Energy relative to the elements, uncorrected, eV/atom: 0.5215
N(E_F), states/eV/cell: 4.0

=====

Record 15
# CsRb2NbF8

CsRb2NbF8 after structural relaxation (GGA-PBE, the Alexandria database).

Structure (extended XYZ):
```
12
Lattice="5.589 0.000 0.000 -2.794 4.840 0.000 0.000 0.000 10.607" Properties=species:S:1:pos:R:3 pbc="T T T"
Cs 0.000 0.000 0.000
Rb 0.000 3.227 8.640
Rb 2.795 1.613 1.967
Nb 0.000 0.000 5.303
F 0.000 1.549 6.462
F -1.453 4.066 6.462
F 1.341 0.775 4.145
F 0.000 3.227 0.762
F 2.795 1.613 9.845
F 1.453 4.066 6.462
F 4.247 0.775 4.145
F 2.794 3.291 4.145
```

Summary:
Crystal system: trigonal
M_tot, μB per atom: 0.0161
Energy relative to the elements, uncorrected, eV/atom: -2.8361
N(E_F), states/eV/cell: 0.0

=====

Record 16
# Y6ZnAu5

Y6ZnAu5 after structural relaxation (GGA-PBE, the Alexandria database).

Structure (extended XYZ):
```
12
Lattice="2.554 -7.697 0.000 2.554 7.697 0.000 0.000 0.000 7.152" Properties=species:S:1:pos:R:3 pbc="T T T"
Y 0.000 0.000 1.763
Y 0.000 0.000 5.389
Y 2.554 2.579 1.796
Y 2.554 2.579 5.356
Y 2.554 -2.579 1.796
Y 2.554 -2.579 5.356
Zn 2.554 0.000 3.576
Au 2.554 5.288 3.576
Au 2.554 5.097 0.000
Au 2.554 0.000 0.000
Au 2.554 -5.097 0.000
Au 2.554 -5.288 3.576
```

Summary:
Crystal system: orthorhombic
M_tot, μB per atom: 0.0000
Formation energy, eV per atom: -0.7793
N(E_F), states/eV/cell: 7.0

=====

Record 17
# TaBTeI2

TaBTeI2 after structural relaxation (GGA-PBE, the Alexandria database).

Structure (extended XYZ):
```
5
Lattice="4.901 0.000 0.000 0.000 4.901 0.000 0.000 0.000 4.924" Properties=species:S:1:pos:R:3 pbc="T T T"
Ta 0.000 0.000 0.000
B 2.451 2.451 2.462
Te 2.451 2.451 0.000
I 0.000 2.451 2.462
I 2.451 0.000 2.462
```

Summary:
Crystal system: tetragonal
M_tot, μB per atom: 0.4861
Energy relative to the elements, uncorrected, eV/atom: 1.3227
N(E_F), states/eV/cell: 3.1